La4Se2Cl3 | Alexandria via LeMat-Bulk | PBE | relaxed; electronic total energy = -5.53 eV per atom; space-group type = C2/m (12)
1.0
3.706 -2.140 0.000
3.706 2.140 0.000
-0.021 0.000 16.871
La Se Cl
4 2 3
Direct
0.001 0.001 0.300
0.334 0.334 0.104
0.666 0.666 0.896
0.999 0.999 0.700
0.333 0.333 0.797
0.667 0.667 0.203
0.000 0.000 0.000
0.334 0.334 0.397
0.666 0.666 0.603